Entry 1:
Crystalline Sc8Ga2Ir at its relaxed geometry. Source: Alexandria, functional GGA-PBE.

The structure belongs to space group C2/m (No. 12); the cell edges are 16.097, 4.782 and 6.586 Å and the angles 90.00°, 113.26° and 90.00°. Symmetry generates all atoms from Sc at (0.017, 0.000, 0.284), Sc at (0.094, 0.500, 0.936), Sc at (0.159, 0.500, 0.448), Sc at (0.195, 0.000, 0.782), Ga at (0.175, 0.000, 0.182) and Ir at (0.000, 0.500, 0.500).

The energy of formation from the pure elements is -0.4490 eV/atom.

Entry 2:
Crystalline Sc6Ga5Ir at its relaxed geometry. Source: Alexandria, functional GGA-PBE.

The structure belongs to space group Cmmm (No. 65); the cell edges are 4.727, 14.174 and 6.627 Å and the angles 90.00°, 90.00° and 90.00°. Symmetry generates all atoms from Sc at (0.000, 0.000, 0.248), Sc at (0.000, 0.337, 0.246), Ga at (0.000, 0.166, 0.000), Ga at (0.000, 0.170, 0.500), Ga at (0.000, 0.500, 0.500) and Ir at (0.000, 0.500, 0.000).

The energy of formation from the pure elements is -0.6725 eV/atom.